Arrangement i

First-principles (PBE) data for SiAsBr2 after structural relaxation, as listed in Alexandria via LeMat-Bulk.

Cell lengths 4.3452, 4.7958, 4.7939 Å; angles 86.00, 90.00, 90.00 degrees
Last column: nearest neighbours and their distance in Å.
Fractional positions:
As (0.5000, 0.7500, 0.7500)  4 Br 2.81
Br (0.0000, 0.0039, 0.0038)  2 Si 2.78, 2 As 2.81
Br (0.0000, 0.4961, 0.4962)  2 Si 2.78, 2 As 2.81
Si (0.5000, 0.2500, 0.2500)  4 Br 2.78

Properties
Magnetic moment   0.00 μB per cell

Arrangement ii

First-principles (PBE) data for SiAsBr2 after structural relaxation, as listed in Alexandria via LeMat-Bulk.

Cell lengths 3.2919, 3.2919, 11.6136 Å; angles 90.00, 90.00, 90.00 degrees
Last column: nearest neighbours and their distance in Å.
Fractional positions:
As (0.5000, 0.5000, 0.7500)  4 As 3.29
Br (0.0000, 0.0000, 0.1027)  4 Si 2.89
Br (0.0000, 0.0000, 0.3973)  4 Si 2.89
Si (0.5000, 0.5000, 0.2500)  8 Br 2.89

Properties
Magnetic moment   0.53 μB per cell

Q: Which of them is the least stable? A: arrangement ii.

Arrangement i

First-principles (PBE) data for SiAsBr2 after structural relaxation, as listed in Alexandria via LeMat-Bulk.

Cell lengths 4.8233, 5.4430, 4.7952 Å; angles 66.10, 85.43, 114.08 degrees
Last column: nearest neighbours and their distance in Å.
Fractional positions:
As (0.5000, 0.5000, 0.0000)  4 Br 2.80
Br (0.0000, 0.0000, 0.0000)  2 Si 2.80, 2 As 2.80
Br (0.5000, 0.0000, 0.5000)  2 As 2.80, 2 Si 2.80
Si (0.0000, 0.5000, 0.5000)  4 Br 2.80

Properties
Magnetic moment   0.00 μB per cell

Arrangement ii

First-principles (PBE) data for SiAsBr2 after structural relaxation, as listed in Alexandria via LeMat-Bulk.

Cell lengths 3.8909, 3.8909, 8.9817 Å; angles 90.00, 90.00, 118.37 degrees
Last column: nearest neighbours and their distance in Å.
Fractional positions:
As (0.5000, 0.5000, 0.7000)  2 Si 2.41
Br (0.0000, 0.0000, 0.9087)  2 As 2.74
Br (0.5000, 0.5000, 0.3428)  2 Si 2.72
Si (0.0000, 0.0000, 0.5485)  2 As 2.41

Properties
Magnetic moment   0.00 μB per cell

Arrangement iii

First-principles (PBE) data for SiAsBr2 after structural relaxation, as listed in Alexandria via LeMat-Bulk.

Cell lengths 3.5192, 5.9474, 5.8971 Å; angles 47.95, 90.00, 90.00 degrees
Last column: nearest neighbours and their distance in Å.
Fractional positions:
As (0.0000, 0.0000, 0.5000)  6 Br 2.95-2.98
Br (0.0000, 0.0000, 0.0000)  2 As 2.95, 4 Si 2.98
Br (0.5000, 0.5000, 0.0000)  2 Si 2.95, 4 As 2.98
Si (0.5000, 0.5000, 0.5000)  6 Br 2.95-2.98

Properties
Magnetic moment   0.00 μB per cell

Arrangement iv

First-principles (PBE) data for SiAsBr2 after structural relaxation, as listed in Alexandria via LeMat-Bulk.

Cell lengths 5.4798, 5.4798, 5.4798 Å; angles 131.82, 131.82, 70.52 degrees
Last column: nearest neighbours and their distance in Å.
Fractional positions:
As (0.7500, 0.2500, 0.5000)  8 Br 3.16, 4 Si 3.16
Br (0.0000, 0.0000, 0.0000)  4 Si 3.16, 4 As 3.16, 4 Br 3.16
Br (0.2500, 0.7500, 0.5000)  4 As 3.16, 4 Si 3.16, 4 Br 3.16
Si (0.5000, 0.5000, 0.0000)  8 Br 3.16, 4 As 3.16

Properties
Magnetic moment   0.00 μB per cell

Q: Which of them is the least stable? A: arrangement iv.

Arrangement i

First-principles (PBE) data for SiAsBr2 after structural relaxation, as listed in Alexandria via LeMat-Bulk.

Cell lengths 8.4442, 8.4442, 3.8029 Å; angles 88.74, 88.74, 24.80 degrees
Last column: nearest neighbours and their distance in Å.
Fractional positions:
As (0.2500, 0.2500, 0.2500)  2 Br 2.61, 4 Si 2.63
Br (0.1068, 0.1068, 0.9737)  1 As 2.61
Br (0.3932, 0.3932, 0.5263)  1 As 2.61
Si (0.7500, 0.7500, 0.7500)  4 As 2.63

Properties
Magnetic moment   0.00 μB per cell

Arrangement ii

First-principles (PBE) data for SiAsBr2 after structural relaxation, as listed in Alexandria via LeMat-Bulk.

Cell lengths 3.4381, 3.4381, 9.1187 Å; angles 90.00, 90.00, 121.15 degrees
Last column: nearest neighbours and their distance in Å.
Fractional positions:
As (0.5000, 0.5000, 0.7500)  4 Br 2.96
Br (0.0000, 0.0000, 0.0165)  2 Si 2.72, 2 As 2.96
Br (0.0000, 0.0000, 0.4835)  2 Si 2.72, 2 As 2.96
Si (0.5000, 0.5000, 0.2500)  4 Br 2.72

Properties
Magnetic moment   0.00 μB per cell

Arrangement iii

First-principles (PBE) data for SiAsBr2 after structural relaxation, as listed in Alexandria via LeMat-Bulk.

Cell lengths 6.5011, 6.5011, 5.5320 Å; angles 81.01, 81.01, 34.66 degrees
Last column: nearest neighbours and their distance in Å.
Fractional positions:
As (0.1468, 0.1468, 0.2511)  1 Br 2.39, 2 Si 2.46
Br (0.9917, 0.9917, 0.0448)  1 As 2.39
Br (0.7611, 0.7611, 0.6810)  1 Si 2.31
Si (0.6003, 0.6003, 0.5231)  1 Br 2.31, 2 As 2.46

Properties
Magnetic moment   0.00 μB per cell

Q: Which of them is the least stable? A: arrangement ii.

Arrangement i

First-principles (PBE) data for SiAsBr2 after structural relaxation, as listed in Alexandria via LeMat-Bulk.

Cell lengths 9.6777, 9.6777, 9.6777 Å; angles 20.66, 20.66, 20.66 degrees
Last column: nearest neighbours and their distance in Å.
Fractional positions:
As (0.0000, 0.0000, 0.0000)  2 Br 2.68
Si (0.5000, 0.5000, 0.5000)  6 Br 2.87
Br (0.9056, 0.9056, 0.9056)  1 As 2.68, 3 Si 2.87
Br (0.0944, 0.0944, 0.0944)  1 As 2.68, 3 Si 2.87

Properties
Magnetic moment   0.00 μB per cell

Arrangement ii

First-principles (PBE) data for SiAsBr2 after structural relaxation, as listed in Alexandria via LeMat-Bulk.

Cell lengths 7.6971, 7.6971, 7.6971 Å; angles 152.84, 146.71, 43.48 degrees
Last column: nearest neighbours and their distance in Å.
Fractional positions:
As (0.6992, 0.1992, 0.5000)  2 Si 2.55
Br (0.9985, 0.9985, 0.0000)  4 Si 3.04
Br (0.2292, 0.7292, 0.5000)  4 As 2.88, 2 Si 3.14
Si (0.5732, 0.5732, 0.0000)  2 As 2.55

Properties
Magnetic moment   0.00 μB per cell

Arrangement iii

First-principles (PBE) data for SiAsBr2 after structural relaxation, as listed in Alexandria via LeMat-Bulk.

Cell lengths 3.8735, 5.7300, 7.1089 Å; angles 48.93, 90.00, 90.00 degrees
Last column: nearest neighbours and their distance in Å.
Fractional positions:
As (0.5000, 0.6971, 0.6768)  1 Br 2.39, 2 Si 2.47
Br (0.0000, 0.0238, 0.9319)  1 Si 2.31
Br (0.5000, 0.2405, 0.3224)  1 As 2.39
Si (0.0000, 0.5386, 0.5689)  1 Br 2.31, 2 As 2.47

Properties
Magnetic moment   0.00 μB per cell

Q: Which of them is the least stable? A: arrangement i.

Arrangement i

First-principles (PBE) data for SiSnAsBr2 after structural relaxation, as listed in Alexandria via LeMat-Bulk.

Cell lengths 5.0399, 5.0399, 5.1963 Å; angles 90.00, 90.00, 90.00 degrees
Last column: nearest neighbours and their distance in Å.
Fractional positions:
As (0.0000, 0.0000, 0.5000)  2 Si 2.60
Si (0.0000, 0.0000, 0.0000)  4 Br 2.52, 2 As 2.60
Sn (0.5000, 0.5000, 0.5000)  4 As 3.56, 8 Br 3.62
Br (0.0000, 0.5000, 0.0000)  2 Si 2.52
Br (0.5000, 0.0000, 0.0000)  2 Si 2.52

Properties
Magnetic moment   0.00 μB per cell

Arrangement ii

First-principles (PBE) data for SiSnAsBr2 after structural relaxation, as listed in Alexandria via LeMat-Bulk.

Cell lengths 5.4176, 5.4176, 5.5112 Å; angles 90.00, 90.00, 90.00 degrees
Last column: nearest neighbours and their distance in Å.
Fractional positions:
As (0.0000, 0.0000, 0.5000)  2 Sn 2.76
Si (0.5000, 0.5000, 0.5000)  4 As 3.83, 8 Br 3.86
Sn (0.0000, 0.0000, 0.0000)  4 Br 2.71, 2 As 2.76
Br (0.0000, 0.5000, 0.0000)  2 Sn 2.71
Br (0.5000, 0.0000, 0.0000)  2 Sn 2.71

Properties
Magnetic moment   0.00 μB per cell

Q: Which of them is the least stable? A: arrangement ii.

Arrangement i

First-principles (PBE) data for TaSiAs2Br after structural relaxation, as listed in Alexandria via LeMat-Bulk.

Cell lengths 5.0444, 5.0444, 5.0504 Å; angles 90.00, 90.00, 90.00 degrees
Last column: nearest neighbours and their distance in Å.
Fractional positions:
As (0.0000, 0.5000, 0.0000)  2 Ta 2.52
As (0.5000, 0.0000, 0.0000)  2 Ta 2.52
Si (0.5000, 0.5000, 0.5000)  4 Br 3.57, 8 As 3.57
Br (0.0000, 0.0000, 0.5000)  2 Ta 2.53
Ta (0.0000, 0.0000, 0.0000)  4 As 2.52, 2 Br 2.53

Properties
Magnetic moment   0.01 μB per cell

Arrangement ii

First-principles (PBE) data for TaSiAs2Br after structural relaxation, as listed in Alexandria via LeMat-Bulk.

Cell lengths 4.7411, 4.7411, 4.7708 Å; angles 90.00, 90.00, 90.00 degrees
Last column: nearest neighbours and their distance in Å.
Fractional positions:
As (0.0000, 0.5000, 0.0000)  2 Si 2.37
As (0.5000, 0.0000, 0.0000)  2 Si 2.37
Si (0.0000, 0.0000, 0.0000)  4 As 2.37, 2 Br 2.39
Br (0.0000, 0.0000, 0.5000)  2 Si 2.39
Ta (0.5000, 0.5000, 0.5000)  4 Br 3.35, 8 As 3.36

Properties
Magnetic moment   1.40 μB per cell

Q: Which of them is the least stable? A: arrangement ii.